Computed, not measured: an optimized crystal structure of HfCO2 at the PBE-GGA level of DFT.

Lattice parameters (Å, degrees): 6.197 6.197 6.197 30.33 30.33 30.33
Fractional coordinates of all 4 atoms:
Hf 0.000 0.000 0.000
C 0.500 0.500 0.500
O 0.386 0.386 0.386
O 0.614 0.614 0.614

Computed properties:
- D(E_F) (states/eV per cell) = 1.07
- energy (eV per atom) = -7.9539
- SG = R-3m (166)
- formation energy from raw total energies (eV/atom) = -0.680

Computed, not measured: an optimized crystal structure of YErBi2 at the PBE-GGA level of DFT.

Lattice parameters (Å, degrees): 4.465 4.465 7.734 106.83 106.83 60.07
Fractional coordinates of all 4 atoms:
Y 0.000 0.000 0.000
Er 0.500 0.500 0.500
Bi 0.249 0.249 0.747
Bi 0.751 0.751 0.253

Computed properties:
- D(E_F) (states/eV per cell) = 0.73
- energy above the lowest structure with this stoichiometry (meV per atom) = 1
- energy (eV per atom) = -5.5520
- formation energy from the elements (eV/f.u.) = -3.42
- SG = C2/m (12)

> Which of these has the highest D(E_F)?

HfCO2